1.
Computed, not measured: a relaxed structure of Ge2IrPt at the GGA-PBE level of DFT.

Cell lengths 3.661, 5.609, 6.321 Å; angles 90.00, 90.00, 90.00 degrees
Atoms (fractional coordinates):
1 Ge 0.000 0.058 0.000
2 Ge 0.000 0.566 0.336
3 Ge 0.500 0.434 0.836
4 Ge 0.500 0.942 0.500
5 Ir 0.000 0.251 0.621
6 Ir 0.500 0.749 0.121
7 Pt 0.000 0.748 0.719
8 Pt 0.500 0.252 0.219

Relative energy among the computed polymorphs ... 7 meV per atom

2.
Computed, not measured: a relaxed structure of Ge2IrPt at the GGA-PBE level of DFT.

Cell lengths 3.655, 6.312, 5.625 Å; angles 90.00, 90.00, 90.00 degrees
Atoms (fractional coordinates):
1 Ge 0.000 0.157 0.000
2 Ge 0.000 0.843 0.500
3 Ge 0.500 0.325 0.623
4 Ge 0.500 0.675 0.123
5 Ir 0.500 0.048 0.309
6 Ir 0.500 0.952 0.809
7 Pt 0.000 0.445 0.303
8 Pt 0.000 0.555 0.803

Relative energy among the computed polymorphs ... 0 meV per atom